(1)
A plane-wave DFT calculation with meta-GGA SCAN was carried out for a PBEsol-optimized structure of NiBi2Cl.

Structure (POSCAR):
```
NiBi2Cl
1.0
6.349 0.000 0.000
0.000 6.349 0.000
-3.175 -3.175 5.920
Cl Ni Bi
2 2 4
Cartesian
3.175 3.175 0.000 Cl
3.175 0.000 2.960 Cl
0.000 3.175 2.960 Ni
0.000 0.000 0.000 Ni
-1.587 -2.049 4.440 Bi
1.126 4.762 1.480 Bi
1.587 2.049 4.440 Bi
5.224 1.587 1.480 Bi
```



(2)
A plane-wave DFT calculation with meta-GGA SCAN was carried out for a PBEsol-optimized structure of BiCl2O.

Structure (POSCAR):
```
BiCl2O
1.0
4.159 0.000 0.000
2.079 6.934 0.000
2.079 0.000 6.934
O Bi Cl
2 2 4
Cartesian
2.079 0.000 0.000 O
3.119 3.467 3.467 O
0.000 0.000 0.000 Bi
5.198 3.467 3.467 Bi
5.718 5.932 2.465 Cl
4.678 4.468 5.932 Cl
5.718 1.002 4.468 Cl
4.678 2.465 1.002 Cl
```



(3)
A plane-wave DFT calculation with meta-GGA SCAN was carried out for a PBEsol-optimized structure of BiPbClO2.

Structure (POSCAR):
```
BiPbClO2
1.0
-4.240 3.303 1.460
-3.256 -4.510 0.746
0.142 -2.566 6.218
O Pb Bi Cl
4 2 2 2
Cartesian
-2.477 -3.432 0.568 O
-4.598 -1.780 1.298 O
-0.778 -1.078 0.178 O
-2.898 0.573 0.908 O
-2.303 -1.497 2.007 Pb
-5.050 -2.276 6.416 Pb
-1.242 -1.683 5.512 Bi
-6.111 -2.090 2.912 Bi
-3.938 0.069 4.339 Cl
-3.415 -3.842 4.084 Cl
```



(4)
A plane-wave DFT calculation with meta-GGA SCAN was carried out for a PBEsol-optimized structure of Sr3BiCl3O3.

Structure (POSCAR):
```
Sr3BiCl3O3
1.0
6.647 0.000 0.000
0.000 11.416 0.000
0.000 0.000 11.561
O Cl Sr Bi
12 12 12 4
Cartesian
1.333 2.854 0.102 O
6.133 10.014 5.215 O
4.657 2.854 5.678 O
5.314 8.562 11.459 O
6.133 7.110 5.215 O
0.515 4.306 6.346 O
3.838 4.306 10.996 O
2.809 10.014 0.565 O
3.838 1.402 10.996 O
2.809 7.110 0.565 O
0.515 1.402 6.346 O
1.991 8.562 5.883 O
0.679 5.627 9.896 Cl
2.811 8.562 8.886 Cl
2.645 11.335 4.115 Cl
3.837 2.854 2.675 Cl
2.645 5.790 4.115 Cl
0.513 2.854 3.105 Cl
4.002 0.082 7.445 Cl
0.679 0.082 9.896 Cl
5.969 11.335 1.665 Cl
6.134 8.562 8.455 Cl
4.002 5.627 7.445 Cl
5.969 5.790 1.665 Cl
4.466 10.614 10.298 Sr
2.181 0.803 1.262 Sr
1.143 10.614 7.043 Sr
1.057 8.562 11.169 Sr
4.381 8.562 6.172 Sr
5.505 4.905 4.518 Sr
4.466 6.511 10.298 Sr
2.267 2.854 5.388 Sr
1.143 6.511 7.043 Sr
2.181 4.905 1.262 Sr
5.590 2.854 0.392 Sr
5.505 0.803 4.518 Sr
5.973 2.854 7.297 Bi
0.675 8.562 4.263 Bi
3.998 8.562 1.517 Bi
2.649 2.854 10.044 Bi
```



(5)
A plane-wave DFT calculation with meta-GGA SCAN was carried out for a PBEsol-optimized structure of TaBi4ClO8.

Calculated values
Offset from the most stable computed form: 0.065 eV per atom

Structure (POSCAR):
```
TaBi4ClO8
1.0
-1.583 0.327 3.521
-2.209 -3.103 -0.705
9.874 -8.209 5.200
Bi Cl O Ta
4 1 8 1
Cartesian
3.578 -2.975 1.884 Bi
-0.094 -2.886 2.357 Bi
6.176 -8.099 5.659 Bi
6.296 -5.234 3.316 Bi
3.041 -5.493 4.008 Cl
1.702 -3.885 1.125 O
5.963 -7.427 3.369 O
-1.104 -1.552 -0.352 O
1.424 -1.183 0.750 O
2.015 -2.170 3.238 O
6.276 -5.712 5.482 O
8.450 -7.025 4.450 O
-0.791 0.163 1.760 O
0.000 0.000 0.000 Ta
```



(6)
A plane-wave DFT calculation with meta-GGA SCAN was carried out for a PBEsol-optimized structure of TaBi4ClO8.

Calculated values
Offset from the most stable computed form: 0.000 eV per atom

Structure (POSCAR):
```
TaBi4ClO8
1.0
-5.132 -1.868 -0.201
1.810 -5.086 1.051
-2.843 4.791 28.075
Ta O Bi Cl
4 32 16 4
Cartesian
-0.357 -1.394 22.087 Ta
-2.336 -2.379 7.464 Ta
-3.828 0.216 21.461 Ta
-0.675 1.099 7.039 Ta
-1.045 -2.374 11.848 O
-1.616 -1.416 17.759 O
-2.799 -4.711 3.562 O
-5.630 1.235 21.550 O
-4.893 -3.161 19.997 O
-2.556 -3.113 5.636 O
-4.773 -1.326 22.073 O
-4.218 -0.043 19.534 O
-1.130 -1.181 3.178 O
-2.072 -0.520 21.319 O
-1.272 0.998 8.928 O
-1.123 -1.017 23.877 O
-0.534 -3.398 7.376 O
-1.967 0.163 11.322 O
-5.119 0.211 17.077 O
-3.366 2.548 25.363 O
-4.092 -1.643 7.606 O
-1.391 -0.837 6.852 O
-5.034 -0.982 25.747 O
-4.549 -0.747 11.166 O
-3.026 2.005 20.792 O
-3.687 -2.162 3.037 O
-0.258 -3.737 3.702 O
-2.477 -0.001 25.888 O
-5.041 -1.146 5.048 O
-4.198 -2.326 17.604 O
-3.610 -3.278 11.693 O
-3.138 -4.168 8.134 O
-2.554 1.115 17.232 O
-3.608 0.950 23.290 O
-5.906 1.574 25.223 O
-1.947 -2.120 9.392 O
-4.657 -3.381 4.676 Bi
-1.508 1.219 24.249 Bi
-7.724 2.571 26.016 Bi
-1.388 -5.064 5.294 Bi
-4.776 2.901 23.631 Bi
-1.717 -4.096 10.545 Bi
-3.211 -0.796 16.345 Bi
-1.824 -3.093 2.287 Bi
-0.259 -0.692 10.112 Bi
-4.340 0.930 26.639 Bi
-2.954 -1.367 12.581 Bi
1.560 -4.734 2.909 Bi
-1.637 2.650 15.916 Bi
-4.528 -4.813 13.009 Bi
-5.906 -1.470 18.814 Bi
-4.448 1.933 18.381 Bi
0.905 -2.543 0.526 Cl
-0.516 -0.147 14.563 Cl
-3.987 1.462 13.937 Cl
-2.566 -0.934 -0.100 Cl
```



(7)
A plane-wave DFT calculation with meta-GGA SCAN was carried out for a PBEsol-optimized structure of TiBi8WCl2O16.

Structure (POSCAR):
```
TiBi8WCl2O16
1.0
-4.191 -1.083 3.277
1.292 -5.372 -0.122
6.798 -1.496 12.697
Bi O W Cl Ti
8 16 1 2 1
Cartesian
3.274 -2.597 12.323 Bi
-2.004 -3.773 5.185 Bi
0.087 -5.806 7.187 Bi
3.803 -2.102 8.666 Bi
2.341 -5.318 10.231 Bi
6.053 -4.802 10.652 Bi
1.542 -2.563 5.622 Bi
0.745 -5.849 3.517 Bi
0.159 -4.289 5.530 O
2.253 -3.748 3.893 O
-0.385 -2.689 3.116 O
-1.843 -5.902 4.687 O
4.141 -4.662 12.749 O
-2.250 -4.585 2.383 O
-0.127 -4.036 0.723 O
3.691 -3.544 10.324 O
-0.816 -1.406 0.824 O
1.600 -1.059 3.974 O
-2.833 -1.927 2.402 O
5.591 -1.418 11.179 O
4.358 -6.229 10.263 O
1.622 -4.078 11.942 O
2.265 -6.770 11.900 O
-0.469 -1.594 5.591 O
-1.469 -3.147 1.579 W
0.553 -2.824 8.769 Cl
3.308 -4.966 7.086 Cl
1.290 -5.362 -0.122 Ti
```



(8)
A plane-wave DFT calculation with meta-GGA SCAN was carried out for a PBEsol-optimized structure of BiW2Cl8O2.

Structure (POSCAR):
```
BiW2Cl8O2
1.0
7.550 0.042 0.002
-0.262 8.325 -0.029
-1.912 -0.516 10.456
Cl W O Bi
16 4 4 2
Cartesian
0.079 -0.136 6.636 Cl
-0.082 2.656 4.207 Cl
1.745 4.943 6.274 Cl
3.630 2.908 4.155 Cl
-0.329 6.416 9.585 Cl
0.036 2.705 8.281 Cl
5.339 5.146 2.148 Cl
1.713 7.920 3.819 Cl
5.704 1.435 0.844 Cl
1.726 5.109 2.071 Cl
3.543 6.450 9.583 Cl
5.297 7.987 3.793 Cl
3.649 2.743 8.358 Cl
1.833 1.401 0.846 Cl
5.457 5.195 6.222 Cl
3.662 -0.069 6.610 Cl
-0.028 0.422 8.895 W
3.747 0.482 8.881 W
1.628 7.369 1.548 W
5.404 7.430 1.534 W
1.860 0.402 8.981 O
-0.260 7.376 1.544 O
3.515 7.449 1.448 O
5.635 0.476 8.885 O
1.633 2.326 5.932 Bi
3.742 5.525 4.497 Bi
```



no.,total energy (eV per atom),formation energy (no corrections) (eV/atom)
1,-45.22,0.105
2,-25.73,-0.540
3,-36.25,-1.287
4,-21.35,-2.549
5,-32.97,-1.633
6,-33.04,-1.698
7,-31.23,-1.588
8,-23.82,-1.183